1.
The following is a DFT calculation (PBE) of CdAg9 after structural relaxation.

Output
The offset from the most stable computed form is 0.013 eV/atom. Its formation energy is 0.32 eV per formula unit. Its theoretical density is 6.95 Mg/m³. Its space-group type is Pmmn (59). For the total energy, the calculation gives -51.991 eV/cell.

```
CdAg9
1.0
-2.450 -1.172 1.156
-1.596 -0.370 -3.757
17.076 -39.056 -3.408
Ag Cd
18 2
Direct
0.000 0.000 0.311
0.000 0.000 0.380
0.500 0.500 0.345
0.000 0.000 0.795
0.500 0.500 0.620
0.500 0.500 0.205
0.500 0.500 0.483
0.000 0.000 0.517
0.500 0.500 0.758
0.000 0.000 0.586
0.000 0.000 0.242
0.500 0.500 0.414
0.500 0.500 0.552
0.500 0.500 0.689
0.500 0.500 0.276
0.000 0.000 0.655
0.000 0.000 0.448
0.000 0.000 0.724
0.500 0.500 0.831
0.000 0.000 0.169
```

---

2.
The following is a DFT calculation (PBE) of TmSb2 after structural relaxation.

Output
Its theoretical density is 7.81 Mg/m³. Its space-group type is C222 (21). For the total energy, the calculation gives -13.326 eV/cell.

```
TmSb2
1.0
1.685 -3.075 0.000
1.685 3.075 0.000
0.000 0.000 8.465
Sb Tm
2 1
Direct
0.500 0.000 0.702
0.000 0.500 0.298
0.000 0.000 0.000
```

---

3.
The following is a DFT calculation (PBE) of BaDy2Se3 after structural relaxation.

Output
Its theoretical density is 7.10 Mg/m³. Its space-group type is P-3m1 (164). For the total energy, the calculation gives -32.557 eV/cell.

```
BaDy2Se3
1.0
4.211 0.000 0.000
-2.105 3.647 0.000
0.000 0.000 10.654
Ba Dy Se
1 2 3
Direct
0.000 0.000 0.000
0.667 0.333 0.351
0.333 0.667 0.649
0.000 0.000 0.500
0.333 0.667 0.201
0.667 0.333 0.799
```

---

4.
The following is a DFT calculation (PBE) of HfTl2NiBr6 after structural relaxation.

Output
Its theoretical density is 5.85 Mg/m³. Its space-group type is P-31c (163). For the total energy, the calculation gives -73.998 eV/cell.

```
HfTl2NiBr6
1.0
-6.224 -2.095 -3.196
3.870 -4.778 3.940
-7.047 3.641 11.337
Br Ni Hf Tl
12 2 2 4
Direct
0.898 0.228 0.366
0.228 0.898 0.866
0.102 0.330 0.866
0.330 0.102 0.366
0.102 0.772 0.634
0.898 0.670 0.134
0.330 0.228 0.134
0.670 0.898 0.634
0.772 0.670 0.366
0.228 0.330 0.634
0.670 0.772 0.866
0.772 0.102 0.134
0.667 0.333 0.250
0.333 0.667 0.750
0.000 0.000 0.750
0.000 0.000 0.250
0.667 0.333 0.606
0.333 0.667 0.106
0.667 0.333 0.894
0.333 0.667 0.394
```

---

5.
The following is a DFT calculation (PBE) of MgZnCuAs after structural relaxation.

Output
The offset from the most stable computed form is 0.018 eV/atom. Its theoretical density is 5.70 Mg/m³. Its space-group type is F-43m (216). For the total energy, the calculation gives -11.110 eV/cell.

```
MgZnCuAs
1.0
-2.202 -3.642 1.603
-3.913 0.521 2.258
-3.916 -1.309 -1.905
As Cu Mg Zn
1 1 1 1
Direct
0.250 0.250 0.250
0.750 0.750 0.750
0.500 0.500 0.500
0.000 0.000 0.000
```

---

6.
The following is a DFT calculation (PBE) of Gd2As2O5 after structural relaxation.

Output
The offset from the most stable computed form is 0.000 eV/atom. Its theoretical density is 6.92 Mg/m³. Its space-group type is P4/mmm (123). For the total energy, the calculation gives -59.240 eV/cell.

```
Gd2As2O5
1.0
9.434 0.000 0.000
0.000 3.722 0.000
0.000 0.000 3.722
O As Gd
5 2 2
Direct
0.500 0.500 0.500
0.132 0.500 0.000
0.868 0.500 0.000
0.132 0.000 0.500
0.868 0.000 0.500
0.500 0.000 0.000
0.000 0.000 0.000
0.255 0.500 0.500
0.745 0.500 0.500
```

---

7.
The following is a DFT calculation (PBE) of CsYZnS3 after structural relaxation.

Output
Its theoretical density is 3.99 Mg/m³. Its space-group type is C2/m (12). For the total energy, the calculation gives -57.333 eV/cell.

```
CsYZnS3
1.0
-2.952 -1.515 -8.456
1.141 -1.044 -8.951
1.282 -8.327 2.685
Y S Cs Zn
2 6 2 2
Direct
0.163 0.163 0.056
0.837 0.837 0.944
0.321 0.321 0.135
0.000 0.000 0.000
0.500 0.500 0.500
0.347 0.347 0.743
0.653 0.653 0.257
0.679 0.679 0.865
0.153 0.153 0.562
0.847 0.847 0.438
0.477 0.477 0.758
0.523 0.523 0.242
```

---

8.
The following is a DFT calculation (PBE) of TmNiOs after structural relaxation.

Output
The offset from the most stable computed form is 0.000 eV/atom. Its formation energy is 0.77 eV per formula unit. Its theoretical density is 12.53 Mg/m³. Its space-group type is F-43m (216). For the total energy, the calculation gives -20.494 eV/cell.

```
TmNiOs
1.0
0.000 3.025 3.025
3.025 0.000 3.025
3.025 3.025 0.000
Ni Tm Os
1 1 1
Direct
0.000 0.000 0.000
0.750 0.750 0.750
0.250 0.250 0.250
```

---

9.
The following is a DFT calculation (PBE) of TlCuTeMoS2 after structural relaxation.

Output
Its theoretical density is 6.75 Mg/m³. Its space-group type is Cmcm (63). For the total energy, the calculation gives -59.675 eV/cell.

```
TlCuTeMoS2
1.0
-4.695 4.815 -4.746
1.566 -5.938 5.481
-0.652 6.655 7.396
S Cu Tl Mo Te
4 2 2 2 2
Direct
0.106 0.894 0.949
0.894 0.106 0.051
0.106 0.894 0.551
0.894 0.106 0.449
0.042 0.958 0.750
0.958 0.042 0.250
0.724 0.276 0.750
0.276 0.724 0.250
0.500 0.500 0.000
0.500 0.500 0.500
0.415 0.585 0.750
0.585 0.415 0.250
```

---

10.
The following is a DFT calculation (PBE) of UCdOs after structural relaxation.

Output
The offset from the most stable computed form is 0.000 eV/atom. Its formation energy is 1.42 eV per formula unit. Its theoretical density is 13.07 Mg/m³. Its space-group type is F-43m (216). For the total energy, the calculation gives -21.995 eV/cell.

```
UCdOs
1.0
-4.017 -1.806 1.318
-3.940 1.727 -1.622
-2.518 -2.428 -2.983
Cd U Os
1 1 1
Direct
0.250 0.250 0.250
0.750 0.750 0.750
0.000 0.000 0.000
```

---

11.
The following is a DFT calculation (PBE) of Zr2Ag after structural relaxation.

Output
Its formation energy is -0.26 eV per formula unit. Its theoretical density is 7.60 Mg/m³. Its space-group type is Cmcm (63). For the total energy, the calculation gives -80.706 eV/cell.

```
Zr2Ag
1.0
-3.134 1.908 3.045
-8.196 -1.707 -7.366
-0.795 -4.311 1.883
Ag Zr
4 8
Direct
0.915 0.500 0.500
0.918 0.000 0.000
0.415 0.000 0.500
0.418 0.500 0.000
0.417 0.838 0.000
0.917 0.662 0.000
0.416 0.662 0.500
0.417 0.162 0.000
0.916 0.162 0.500
0.416 0.338 0.500
0.917 0.338 0.000
0.916 0.838 0.500
```

---

12.
The following is a DFT calculation (PBE) of MoPSe4 after structural relaxation.

Output
Its theoretical density is 5.60 Mg/m³. Its space-group type is P-6m2 (187). For the total energy, the calculation gives -31.319 eV/cell.

```
MoPSe4
1.0
3.332 0.000 0.000
-1.666 2.886 0.000
0.000 0.000 13.661
Se P Mo
4 1 1
Direct
0.333 0.667 0.122
0.333 0.667 0.878
0.000 0.000 0.375
0.000 0.000 0.625
0.333 0.667 0.500
0.000 0.000 0.000
```

---

13.
The following is a DFT calculation (PBE) of Rb2TcBr6 after structural relaxation.

Output
The offset from the most stable computed form is 0.000 eV/atom. Its theoretical density is 4.11 Mg/m³. Its space-group type is Fm-3m (225). For the total energy, the calculation gives -31.883 eV/cell.

```
Rb2TcBr6
1.0
1.299 4.544 5.870
-5.026 5.304 1.844
-4.089 -0.708 6.291
Rb Br Tc
2 6 1
Direct
0.250 0.250 0.250
0.750 0.750 0.750
0.762 0.238 0.762
0.762 0.238 0.238
0.238 0.762 0.762
0.762 0.762 0.238
0.238 0.238 0.762
0.238 0.762 0.238
0.000 0.000 0.000
```

---

14.
The following is a DFT calculation (PBE) of AcErPO after structural relaxation.

Output
The offset from the most stable computed form is 0.462 eV/atom. Its theoretical density is 8.04 Mg/m³. Its space-group type is P4/nmm (129). For the total energy, the calculation gives -50.825 eV/cell.

```
AcErPO
1.0
-3.643 -2.277 1.737
1.746 0.462 4.267
-4.158 7.345 0.906
P Er O Ac
2 2 2 2
Direct
0.000 0.500 0.721
0.500 0.000 0.279
0.500 0.000 0.943
0.000 0.500 0.057
0.500 0.500 0.000
0.000 0.000 0.000
0.000 0.000 0.500
0.500 0.500 0.500
```

---

15.
The following is a DFT calculation (PBE) of In2Co after structural relaxation.

Output
Its theoretical density is 7.65 Mg/m³. Its space-group type is Fd-3m (227). For the total energy, the calculation gives -19.319 eV/cell.

```
In2Co
1.0
0.000 3.971 3.971
3.971 0.000 3.971
3.971 3.971 0.000
Co In
2 4
Direct
0.250 0.250 0.250
0.000 0.000 0.000
0.125 0.625 0.625
0.625 0.625 0.625
0.625 0.625 0.125
0.625 0.125 0.625
```

---

16.
The following is a DFT calculation (PBE) of DyAlGa after structural relaxation.

Output
Its theoretical density is 6.40 Mg/m³. Its space-group type is F-43m (216). For the total energy, the calculation gives -12.414 eV/cell.

```
DyAlGa
1.0
0.000 3.227 3.227
3.227 0.000 3.227
3.227 3.227 0.000
Dy Ga Al
1 1 1
Direct
0.750 0.750 0.750
0.000 0.000 0.000
0.250 0.250 0.250
```

---

17.
The following is a DFT calculation (PBE) of Sb2MoPd2 after structural relaxation.

Output
Its theoretical density is 8.74 Mg/m³. Its space-group type is P4/nmm (129). For the total energy, the calculation gives -56.306 eV/cell.

```
Sb2MoPd2
1.0
4.203 0.000 0.000
0.000 4.203 0.000
0.000 0.000 11.881
Pd Sb Mo
4 4 2
Direct
0.500 0.500 0.000
0.000 0.500 0.646
0.500 0.000 0.354
0.000 0.000 0.000
0.500 0.000 0.141
0.000 0.000 0.500
0.500 0.500 0.500
0.000 0.500 0.859
0.500 0.000 0.804
0.000 0.500 0.196
```

---

18.
The following is a DFT calculation (PBE) of InAsOsO after structural relaxation.

Output
The offset from the most stable computed form is 0.130 eV/atom. Its theoretical density is 9.08 Mg/m³. Its space-group type is Pmc2_1 (26). For the total energy, the calculation gives -49.008 eV/cell.

```
InAsOsO
1.0
-3.435 -0.361 1.126
-0.807 -5.810 -4.323
1.676 -3.258 4.066
As Os In O
2 2 2 2
Direct
0.000 0.168 0.372
0.000 0.832 0.872
0.500 0.975 0.095
0.500 0.025 0.595
0.000 0.602 0.414
0.000 0.398 0.914
0.500 0.215 0.873
0.500 0.785 0.373
```

---

19.
The following is a DFT calculation (PBE) of NaFe3Bi5 after structural relaxation.

Output
Its theoretical density is 9.04 Mg/m³. Its space-group type is P6/mmm (191). For the total energy, the calculation gives -45.476 eV/cell.

```
NaFe3Bi5
1.0
-0.229 -5.178 -1.905
1.189 0.938 5.310
-8.368 -0.342 1.935
Bi Fe Na
5 3 1
Direct
0.667 0.333 0.228
0.667 0.333 0.772
0.000 0.000 0.500
0.333 0.667 0.228
0.333 0.667 0.772
0.500 0.000 0.500
0.000 0.500 0.500
0.500 0.500 0.500
0.000 0.000 0.000
```

---

20.
The following is a DFT calculation (PBE) of ReSnW2 after structural relaxation.

Output
Its theoretical density is 16.68 Mg/m³. Its space-group type is F-43m (216). For the total energy, the calculation gives -40.463 eV/cell.

```
ReSnW2
1.0
-1.134 0.023 4.415
-4.362 -0.478 1.235
-1.389 -3.845 2.016
Sn W Re
1 2 1
Direct
0.500 0.500 0.500
0.000 0.000 0.000
0.750 0.750 0.750
0.250 0.250 0.250
```

---

21.
The following is a DFT calculation (PBE) of KCu4As3 after structural relaxation.

Output
Its theoretical density is 5.60 Mg/m³. Its space-group type is P4/mmm (123). For the total energy, the calculation gives -30.732 eV/cell.

```
KCu4As3
1.0
-1.145 1.757 -3.468
2.571 -2.369 -2.049
-6.727 -6.412 -1.028
As K Cu
3 1 4
Direct
0.500 0.500 0.294
0.500 0.500 0.706
0.000 0.000 0.000
0.000 0.000 0.500
0.000 0.500 0.156
0.000 0.500 0.844
0.500 0.000 0.156
0.500 0.000 0.844
```

---

22.
The following is a DFT calculation (PBE) of CsPdF3 after structural relaxation.

Output
Its theoretical density is 6.30 Mg/m³. Its space-group type is Pm-3m (221). For the total energy, the calculation gives -20.720 eV/cell.

```
CsPdF3
1.0
-2.125 2.192 2.992
2.427 -1.786 3.031
2.805 3.205 -0.356
F Cs Pd
3 1 1
Direct
0.500 0.500 0.000
0.500 0.000 0.500
0.000 0.500 0.500
0.000 0.000 0.000
0.500 0.500 0.500
```

---

23.
The following is a DFT calculation (PBE) of La2DyZn3Ir2Pt after structural relaxation.

Output
Its formation energy is -6.74 eV per formula unit. Its theoretical density is 10.87 Mg/m³. Its space-group type is Amm2 (38). For the total energy, the calculation gives -48.745 eV/cell.

```
La2DyZn3Ir2Pt
1.0
3.999 0.000 0.000
0.000 6.368 3.649
0.000 -6.368 3.649
Ir Pt Zn Dy La
2 1 3 1 2
Direct
0.500 0.340 0.661
0.500 0.661 0.340
0.000 0.995 0.995
0.500 0.991 0.755
0.500 0.250 0.250
0.500 0.755 0.991
0.000 0.591 0.591
0.000 0.417 0.001
0.000 0.001 0.417
```

---

24.
The following is a DFT calculation (PBE) of DyErGe2Pt after structural relaxation.

Output
Its theoretical density is 10.70 Mg/m³. Its space-group type is C2/m (12). For the total energy, the calculation gives -59.046 eV/cell.

```
DyErGe2Pt
1.0
5.223 -2.166 0.000
5.223 2.166 0.000
-4.755 0.000 9.196
Pt Er Dy Ge
2 2 2 4
Direct
0.273 0.273 0.667
0.727 0.727 0.333
0.188 0.188 0.114
0.812 0.812 0.886
0.009 0.009 0.328
0.991 0.991 0.672
0.474 0.474 0.112
0.644 0.644 0.552
0.356 0.356 0.448
0.526 0.526 0.888
```